## PrPdAu (PBE)

Data for a relaxed PrPdAu crystal.

Unit cell a=6.703 b=6.703 c=6.703 alpha=90.00 beta=90.00 gamma=90.00
Space group F-43m (No. 216)
Inequivalent atoms, fractional coordinates:
Pr 0.000 0.000 0.000 x4
Pd 0.250 0.250 0.750 x4
Au 0.000 0.000 0.500 x4

Computed properties:
ΔH_f (0 K) (eV/atom): -0.6745
ΔE to the lowest computed polymorph (kJ/mol of formula units): 0
Mass density (g/cm3): 9.80



## NaTcTePb (PBE)

Data for a relaxed NaTcTePb crystal.

Unit cell a=6.953 b=6.953 c=6.953 alpha=90.00 beta=90.00 gamma=90.00
Space group F-43m (No. 216)
Inequivalent atoms, fractional coordinates:
Na 0.000 0.000 0.000 x4
Tc 0.000 0.000 0.500 x4
Te 0.250 0.250 0.250 x4
Pb 0.250 0.250 0.750 x4

Computed properties:
ΔE to the lowest computed polymorph (kJ/mol of formula units): 0
Mass density (g/cm3): 9.01



## Li4Mg2InAu (PBE)

Data for a relaxed Li4Mg2InAu crystal.

Unit cell a=4.619 b=4.619 c=6.665 alpha=90.00 beta=90.00 gamma=90.00
Space group P-4m2 (No. 115)
Inequivalent atoms, fractional coordinates:
Li 0.000 0.000 0.000 x1
Li 0.000 0.500 0.238 x2
Li 0.500 0.500 0.500 x1
Mg 0.000 0.500 0.771 x2
In 0.000 0.000 0.500 x1
Au 0.500 0.500 0.000 x1

Computed properties:
DFT total energy (eV for the cell shown): -19.402
Mass density (g/cm3): 4.53